A relaxed ThIn2Cl6 crystal. Source: Alexandria, functional PBE.

Unit cell a=7.8959 b=7.7524 c=12.1284 alpha=94.17 beta=90.00 gamma=90.00
Last column: nearest neighbours and their distance in Å.
Fractional coordinates of all 18 atoms:
Th (0.5000, 0.5000, 0.0000)  6 Cl 2.70
Th (0.0000, 0.0000, 0.5000)  6 Cl 2.70
In (0.5408, 0.0194, 0.1999)  6 Cl 3.16-3.28
In (0.0408, 0.4806, 0.3001)  6 Cl 3.16-3.28
In (0.9592, 0.5194, 0.6999)  6 Cl 3.16-3.28
In (0.4592, 0.9806, 0.8001)  6 Cl 3.16-3.28
Cl (0.1456, 0.1573, 0.6823)  1 Th 2.70
Cl (0.2359, 0.1393, 0.3727)  1 Th 2.70
Cl (0.3201, 0.2064, 0.0172)  1 Th 2.70
Cl (0.8201, 0.2936, 0.4828)  1 Th 2.70
Cl (0.7359, 0.3607, 0.1273)  1 Th 2.70
Cl (0.6456, 0.3427, 0.8177)  1 Th 2.70
Cl (0.8544, 0.8427, 0.3177)  1 Th 2.70
Cl (0.7641, 0.8607, 0.6273)  1 Th 2.70
Cl (0.6799, 0.7936, 0.9828)  1 Th 2.70
Cl (0.1799, 0.7064, 0.5172)  1 Th 2.70
Cl (0.2641, 0.6393, 0.8727)  1 Th 2.70
Cl (0.3544, 0.6573, 0.1823)  1 Th 2.70

Computed properties:
**Total moment**: 0.000 μB/atom
**E_form (uncorrected)**: -1597 meV/atom
**Space group**: P2_1/c
**Calculated volume**: 740.4 Å³/cell

***

A relaxed ThIn3Cl8 crystal. Source: Alexandria, functional PBE.

Unit cell a=7.0550 b=7.0550 c=7.0550 alpha=90.00 beta=90.00 gamma=90.00
Last column: nearest neighbours and their distance in Å.
Fractional coordinates of all 12 atoms:
Th (0.0000, 0.0000, 0.0000)  8 Cl 2.85
In (0.5000, 0.5000, 0.0000)  8 Cl 3.13
In (0.5000, 0.0000, 0.5000)  8 Cl 3.13
In (0.0000, 0.5000, 0.5000)  8 Cl 3.13
Cl (0.2331, 0.2331, 0.7669)  1 Th 2.85, 3 In 3.13
Cl (0.2331, 0.7669, 0.2331)  1 Th 2.85, 3 In 3.13
Cl (0.7669, 0.2331, 0.2331)  1 Th 2.85, 3 In 3.13
Cl (0.7669, 0.7669, 0.7669)  1 Th 2.85, 3 In 3.13
Cl (0.7669, 0.7669, 0.2331)  1 Th 2.85, 3 In 3.13
Cl (0.7669, 0.2331, 0.7669)  1 Th 2.85, 3 In 3.13
Cl (0.2331, 0.7669, 0.7669)  1 Th 2.85, 3 In 3.13
Cl (0.2331, 0.2331, 0.2331)  1 Th 2.85, 3 In 3.13

Computed properties:
**Total moment**: 0.000 μB/atom
**E_form (uncorrected)**: -1336 meV/atom
**Space group**: Pm-3m
**Calculated volume**: 351.1 Å³/cell

***

A relaxed ThInCl6 crystal. Source: Alexandria, functional PBE.

Unit cell a=4.0657 b=8.4570 c=8.4570 alpha=117.31 beta=90.00 gamma=90.00
Last column: nearest neighbours and their distance in Å.
Fractional coordinates of all 8 atoms:
Th (0.0000, 0.9904, 0.0096)  8 Cl 2.76-2.89
In (0.5000, 0.5133, 0.4867)  2 Cl 2.67
Cl (0.0000, 0.6227, 0.7929)  1 Th 2.79, 2 In 3.08
Cl (0.0000, 0.2071, 0.3773)  1 Th 2.79, 2 In 3.08
Cl (0.0000, 0.6327, 0.3673)  2 In 2.67
Cl (0.5000, 0.9142, 0.7415)  2 Th 2.89, 1 Cl 3.03, 1 In 3.07
Cl (0.5000, 0.2585, 0.0858)  2 Th 2.89, 1 Cl 3.03, 1 In 3.07
Cl (0.5000, 0.8610, 0.1390)  2 Th 2.76

Computed properties:
**Total moment**: 0.119 μB/atom
**E above lowest polymorph**: 45 meV/atom
**E_form (uncorrected)**: -1586 meV/atom
**Space group**: Amm2
**Calculated volume**: 258.4 Å³/cell

***

A relaxed ThIn3Cl6 crystal. Source: Alexandria, functional PBE.

Unit cell a=7.5621 b=7.9154 c=12.6304 alpha=89.69 beta=90.00 gamma=90.00
Last column: nearest neighbours and their distance in Å.
Fractional coordinates of all 20 atoms:
Th (0.5000, 0.5000, 0.5000)  6 Cl 2.67-2.72
Th (0.0000, 0.0000, 0.0000)  6 Cl 2.67-2.72
In (0.2103, 0.4915, 0.1967)  3 Cl 3.16-3.45, 1 In 3.31
In (0.5000, 0.5000, 0.0000)  4 Cl 3.09-3.41, 2 In 3.31
In (0.7897, 0.5085, 0.8033)  3 Cl 3.16-3.45, 1 In 3.31
In (0.2897, 0.9915, 0.6967)  3 Cl 3.16-3.45, 1 In 3.31
In (0.0000, 0.0000, 0.5000)  4 Cl 3.09-3.41, 2 In 3.31
In (0.7103, 0.0085, 0.3033)  3 Cl 3.16-3.45, 1 In 3.31
Cl (0.8543, 0.2764, 0.0921)  1 Th 2.72
Cl (0.8144, 0.3481, 0.4928)  1 Th 2.67
Cl (0.9418, 0.1369, 0.8052)  1 Th 2.72
Cl (0.0582, 0.8631, 0.1948)  1 Th 2.72
Cl (0.1856, 0.6519, 0.5072)  1 Th 2.67
Cl (0.1457, 0.7236, 0.9079)  1 Th 2.72
Cl (0.6457, 0.7764, 0.5921)  1 Th 2.72
Cl (0.6856, 0.8481, 0.9928)  1 Th 2.67
Cl (0.5582, 0.6369, 0.3052)  1 Th 2.72
Cl (0.4418, 0.3631, 0.6948)  1 Th 2.72
Cl (0.3144, 0.1519, 0.0072)  1 Th 2.67
Cl (0.3543, 0.2236, 0.4079)  1 Th 2.72

Computed properties:
**Total moment**: 0.103 μB/atom
**E_form (uncorrected)**: -1313 meV/atom
**Space group**: P2_1/c
**Calculated volume**: 756.0 Å³/cell

***

A relaxed Th2InCl8 crystal. Source: Alexandria, functional PBE.

Unit cell a=5.5491 b=7.7512 c=7.7512 alpha=111.58 beta=95.87 gamma=95.87
Last column: nearest neighbours and their distance in Å.
Fractional coordinates of all 11 atoms:
Th (0.0000, 0.3213, 0.6787)  8 Cl 2.85-2.89
Th (0.0000, 0.6787, 0.3213)  8 Cl 2.85-2.89
In (0.5000, 0.0000, 0.0000)  8 Cl 3.31-3.57
Cl (0.9223, 0.9455, 0.6727)  2 Th 2.86-2.88
Cl (0.9223, 0.6727, 0.9455)  2 Th 2.86-2.88
Cl (0.2860, 0.6083, 0.6083)  2 Th 2.85
Cl (0.5000, 0.7420, 0.2580)  2 Th 2.89
Cl (0.5000, 0.2580, 0.7420)  2 Th 2.89
Cl (0.7140, 0.3917, 0.3917)  2 Th 2.85
Cl (0.0777, 0.3273, 0.0545)  2 Th 2.86-2.88
Cl (0.0777, 0.0545, 0.3273)  2 Th 2.86-2.88

Computed properties:
**Total moment**: 0.108 μB/atom
**E_form (uncorrected)**: -1817 meV/atom
**Space group**: C2/m
**Calculated volume**: 304.9 Å³/cell

***

A relaxed ThInCl6 crystal. Source: Alexandria, functional PBE.

Unit cell a=6.8900 b=6.8902 c=7.4592 alpha=62.50 beta=62.51 gamma=60.02
Last column: nearest neighbours and their distance in Å.
Fractional coordinates of all 8 atoms:
Th (0.0000, 0.0000, 0.0000)  6 Cl 2.70
In (0.5000, 0.5000, 0.5000)  6 Cl 2.78
Cl (0.0952, 0.3959, 0.7525)  1 Th 2.70, 1 In 2.78
Cl (0.7563, 0.0952, 0.7526)  1 Th 2.70, 1 In 2.78
Cl (0.6043, 0.2434, 0.2475)  1 Th 2.70, 1 In 2.78
Cl (0.2437, 0.9048, 0.2474)  1 Th 2.70, 1 In 2.78
Cl (0.9048, 0.6041, 0.2475)  1 Th 2.70, 1 In 2.78
Cl (0.3957, 0.7566, 0.7525)  1 Th 2.70, 1 In 2.78

Computed properties:
**Total moment**: 0.000 μB/atom
**E above lowest polymorph**: 0 meV/atom
**E_form (uncorrected)**: -1631 meV/atom
**Space group**: R-3
**Calculated volume**: 259.5 Å³/cell

***

A relaxed ThTlInCl6 crystal. Source: Alexandria, functional PBE.

Unit cell a=7.8553 b=7.8553 c=12.7971 alpha=90.00 beta=90.00 gamma=120.00
Last column: nearest neighbours and their distance in Å.
Fractional coordinates of all 18 atoms:
Th (0.6667, 0.3333, 0.2500)  6 Cl 2.70
Th (0.3333, 0.6667, 0.7500)  6 Cl 2.70
Tl (0.0000, 0.0000, 0.0000)  6 Cl 3.30
Tl (0.0000, 0.0000, 0.5000)  6 Cl 3.30
In (0.3333, 0.6667, 0.2500)  6 Cl 3.20
In (0.6667, 0.3333, 0.7500)  6 Cl 3.20
Cl (0.6641, 0.6165, 0.1315)  1 Th 2.70
Cl (0.9524, 0.3359, 0.1315)  1 Th 2.70
Cl (0.3359, 0.9524, 0.6315)  1 Th 2.70
Cl (0.0476, 0.6641, 0.8685)  1 Th 2.70
Cl (0.3835, 0.3359, 0.3685)  1 Th 2.70
Cl (0.9524, 0.6165, 0.3685)  1 Th 2.70
Cl (0.6165, 0.9524, 0.8685)  1 Th 2.70
Cl (0.6641, 0.0476, 0.3685)  1 Th 2.70
Cl (0.0476, 0.3835, 0.6315)  1 Th 2.70
Cl (0.3835, 0.0476, 0.1315)  1 Th 2.70
Cl (0.6165, 0.6641, 0.6315)  1 Th 2.70
Cl (0.3359, 0.3835, 0.8685)  1 Th 2.70

Computed properties:
**Total moment**: 0.000 μB/atom
**E_form (uncorrected)**: -1646 meV/atom
**Space group**: P-31c
**Calculated volume**: 683.9 Å³/cell

***

A relaxed TiIn4Cl6 crystal. Source: Alexandria, functional PBE.

Unit cell a=8.3278 b=8.3278 c=9.4073 alpha=90.00 beta=90.00 gamma=90.00
Last column: nearest neighbours and their distance in Å.
Fractional coordinates of all 22 atoms:
Ti (0.5000, 0.5000, 0.0000)  6 Cl 2.51-2.53
Ti (0.0000, 0.0000, 0.5000)  6 Cl 2.51-2.53
In (0.3494, 0.1506, 0.2500)  6 Cl 3.09-3.44
In (0.1506, 0.6506, 0.7500)  6 Cl 3.09-3.44
In (0.6506, 0.8494, 0.7500)  6 Cl 3.09-3.44
In (0.8494, 0.3494, 0.7500)  6 Cl 3.09-3.44
In (0.3494, 0.1506, 0.7500)  6 Cl 3.09-3.44
In (0.1506, 0.6506, 0.2500)  6 Cl 3.09-3.44
In (0.8494, 0.3494, 0.2500)  6 Cl 3.09-3.44
In (0.6506, 0.8494, 0.2500)  6 Cl 3.09-3.44
Cl (0.2688, 0.8595, 0.5000)  1 Ti 2.53
Cl (0.7688, 0.6405, 0.0000)  1 Ti 2.53
Cl (0.6405, 0.2312, 0.0000)  1 Ti 2.53
Cl (0.1405, 0.2688, 0.5000)  1 Ti 2.53
Cl (0.0000, 0.0000, 0.2330)  1 Ti 2.51
Cl (0.5000, 0.5000, 0.2670)  1 Ti 2.51
Cl (0.3595, 0.7688, 0.0000)  1 Ti 2.53
Cl (0.0000, 0.0000, 0.7670)  1 Ti 2.51
Cl (0.2312, 0.3595, 0.0000)  1 Ti 2.53
Cl (0.5000, 0.5000, 0.7330)  1 Ti 2.51
Cl (0.8595, 0.7312, 0.5000)  1 Ti 2.53
Cl (0.7312, 0.1405, 0.5000)  1 Ti 2.53

Computed properties:
**Total moment**: 0.178 μB/atom
**E_form (uncorrected)**: -961 meV/atom
**Space group**: P4/mnc
**Calculated volume**: 652.4 Å³/cell

***

A relaxed Ti2InCl8 crystal. Source: Alexandria, functional PBE.

Unit cell a=4.8485 b=8.5363 c=8.5363 alpha=75.80 beta=73.48 gamma=73.48
Last column: nearest neighbours and their distance in Å.
Fractional coordinates of all 11 atoms:
Ti (0.0000, 0.3210, 0.6790)  6 Cl 2.29-2.46
Ti (0.0000, 0.6790, 0.3210)  6 Cl 2.29-2.46
In (0.5000, 0.0000, 0.0000)  10 Cl 3.42-3.49
Cl (0.1359, 0.0399, 0.6887)  1 Ti 2.29
Cl (0.1359, 0.6887, 0.0399)  1 Ti 2.29
Cl (0.8730, 0.6269, 0.6269)  2 Ti 2.46
Cl (0.5000, 0.6743, 0.3257)  2 Ti 2.42
Cl (0.5000, 0.3257, 0.6743)  2 Ti 2.42
Cl (0.1270, 0.3731, 0.3731)  2 Ti 2.46
Cl (0.8641, 0.3113, 0.9601)  1 Ti 2.29
Cl (0.8641, 0.9601, 0.3113)  1 Ti 2.29

Computed properties:
**Total moment**: 0.092 μB/atom
**E above lowest polymorph**: 16 meV/atom
**E_form (uncorrected)**: -1397 meV/atom
**Space group**: Immm
**Calculated volume**: 319.5 Å³/cell

***

A relaxed Ti2InCl crystal. Source: Alexandria, functional PBE.

Unit cell a=4.7503 b=4.7503 c=4.7503 alpha=60.00 beta=60.00 gamma=60.00
Last column: nearest neighbours and their distance in Å.
Fractional coordinates of all 4 atoms:
Cl (0.0000, 0.0000, 0.0000)  8 Ti 2.91
Ti (0.2500, 0.2500, 0.2500)  4 Cl 2.91, 4 In 2.91
Ti (0.7500, 0.7500, 0.7500)  4 In 2.91, 4 Cl 2.91
In (0.5000, 0.5000, 0.5000)  8 Ti 2.91

Computed properties:
**Total moment**: 0.436 μB/atom
**E above lowest polymorph**: 0 meV/atom
**E_form (uncorrected)**: 96 meV/atom
**Space group**: Fm-3m
**Calculated volume**: 75.8 Å³/cell

***

- calculated volume of number 9 (Ti2InCl8)?
  319.5 Å³/cell

***

- What is the formula in the eighth record?
  TiIn4Cl6